[1]
DFT (PBE) results for a relaxed K4H5I crystal.

Calculated values
Calculated volume: 26.96 A^3/atom
Energy: -2.487 eV/atom
Density of states at the Fermi level: 0.280 states/eV per atom

abc: 4.538 9.828 12.090
angles: 90.00 90.00 90.00
Atoms (fractional coordinates):
H 0.584 0.765 0.746
K 0.218 0.700 0.000
H 0.416 0.265 0.246
H 0.416 0.265 0.754
K 0.218 0.300 0.000
H 0.584 0.765 0.254
H 0.308 0.000 0.500
H 0.692 0.500 0.000
K 0.240 0.000 0.248
I 0.699 0.000 0.000
H 0.584 0.235 0.746
K 0.760 0.500 0.748
K 0.240 0.000 0.752
I 0.301 0.500 0.500
H 0.584 0.235 0.254
H 0.416 0.735 0.754
K 0.782 0.200 0.500
H 0.416 0.735 0.246
K 0.760 0.500 0.252
K 0.782 0.800 0.500



[2]
DFT (PBE) results for a relaxed K3HI2 crystal.

Calculated values
Calculated volume: 40.05 A^3/atom
Energy: -2.614 eV/atom
Density of states at the Fermi level: 0.000 states/eV per atom

abc: 4.905 4.905 10.572
angles: 103.41 103.41 90.00
Atoms (fractional coordinates):
H 0.434 0.436 0.874
K 0.288 0.289 0.582
I 0.103 0.104 0.212
K 0.934 0.936 0.874
K 0.580 0.582 0.166
I 0.765 0.767 0.536



[3]
DFT (PBE) results for a relaxed KHI crystal.

Calculated values
Calculated volume: 31.46 A^3/atom
Energy: -2.965 eV/atom
Density of states at the Fermi level: 0.000 states/eV per atom

abc: 4.482 4.932 8.539
angles: 90.00 90.00 90.00
Atoms (fractional coordinates):
K 0.500 0.000 0.510
I 0.000 0.500 0.343
H 0.585 0.000 0.173
K 0.500 0.500 0.999
I 0.000 0.000 0.836
H 0.415 0.000 0.173



[4]
DFT (PBE) results for a relaxed K2HI crystal.

Calculated values
Calculated volume: 33.83 A^3/atom
Energy: -2.600 eV/atom
Density of states at the Fermi level: 0.000 states/eV per atom

abc: 4.821 7.793 14.409
angles: 90.00 90.00 90.00
Atoms (fractional coordinates):
H 0.250 0.085 0.610
K 0.750 0.184 0.529
I 0.750 0.613 0.632
K 0.250 0.316 0.029
K 0.750 0.143 0.245
I 0.250 0.387 0.368
H 0.750 0.415 0.110
I 0.750 0.113 0.868
H 0.250 0.585 0.890
K 0.250 0.357 0.745
K 0.250 0.857 0.755
K 0.250 0.816 0.471
K 0.750 0.643 0.255
I 0.250 0.887 0.132
H 0.750 0.915 0.390
K 0.750 0.684 0.971



[5]
DFT (PBE) results for a relaxed K2HI crystal.

Calculated values
Calculated volume: 34.31 A^3/atom
Energy: -2.561 eV/atom
Density of states at the Fermi level: 0.000 states/eV per atom

abc: 4.556 4.556 8.076
angles: 90.00 106.37 120.02
Atoms (fractional coordinates):
K 0.469 0.734 0.204
H 0.000 0.000 0.000
I 0.000 0.500 0.500
K 0.531 0.266 0.796



[6]
DFT (PBE) results for a relaxed K2H3I crystal.

Calculated values
Calculated volume: 29.60 A^3/atom
Energy: -2.775 eV/atom
Density of states at the Fermi level: 0.000 states/eV per atom

abc: 7.043 7.043 8.679
angles: 113.75 113.75 88.98
Atoms (fractional coordinates):
H 0.578 0.422 0.250
H 0.499 0.354 0.105
K 0.219 0.354 0.240
K 0.354 0.219 0.740
I 0.138 0.862 0.250
H 0.422 0.578 0.750
H 0.354 0.499 0.605
K 0.646 0.781 0.260
I 0.862 0.138 0.750
H 0.501 0.646 0.895
K 0.781 0.646 0.760
H 0.646 0.501 0.395



[7]
DFT (PBE) results for a relaxed K4HI3 crystal.

Calculated values
Calculated volume: 41.35 A^3/atom
Energy: -2.668 eV/atom
Density of states at the Fermi level: 0.000 states/eV per atom

abc: 8.350 8.517 9.868
angles: 90.00 90.00 109.49
Atoms (fractional coordinates):
I 0.250 0.500 0.366
K 0.504 0.211 0.896
I 0.250 0.500 0.878
K 0.004 0.211 0.104
H 0.250 0.000 0.093
K 0.492 0.248 0.364
H 0.750 0.000 0.907
I 0.750 0.500 0.634
K 0.008 0.752 0.364
I 0.750 0.000 0.375
K 0.992 0.248 0.636
I 0.250 0.000 0.625
I 0.750 0.500 0.122
K 0.508 0.752 0.636
K 0.996 0.789 0.896
K 0.496 0.789 0.104



[8]
DFT (PBE) results for a relaxed K4HI3 crystal.

Calculated values
Calculated volume: 41.30 A^3/atom
Energy: -2.661 eV/atom
Density of states at the Fermi level: 0.000 states/eV per atom

abc: 4.895 8.452 8.452
angles: 109.11 90.00 90.00
Atoms (fractional coordinates):
H 0.500 0.000 0.000
I 0.500 0.500 0.500
K 0.500 0.770 0.230
K 0.000 0.770 0.770
I 0.000 0.500 0.000
I 0.000 0.000 0.500
K 0.000 0.230 0.230
K 0.500 0.230 0.770



[9]
DFT (PBE) results for a relaxed K2H2I crystal.

Calculated values
Calculated volume: 28.13 A^3/atom
Energy: -2.321 eV/atom
Density of states at the Fermi level: 0.242 states/eV per atom

abc: 4.312 4.312 8.156
angles: 74.67 74.67 90.00
Site moments in Bohr magnetons follow the coordinates.
Atoms (fractional coordinates):
H 0.750 0.250 0.500  0.20
K 0.635 0.635 0.729  0.01
H 0.250 0.750 0.500  0.20
I 0.000 0.000 0.000  0.00
K 0.365 0.365 0.271  0.01



[10]
DFT (PBE) results for a relaxed K2HI crystal.

Calculated values
Calculated volume: 32.89 A^3/atom
Energy: -2.446 eV/atom
Density of states at the Fermi level: 0.000 states/eV per atom

abc: 5.709 5.709 5.709
angles: 60.00 60.00 60.00
Atoms (fractional coordinates):
I 0.500 0.500 0.500
H 0.000 0.000 0.000
K 0.750 0.750 0.750
K 0.250 0.250 0.250



[11]
DFT (PBE) results for a relaxed K2H2I crystal.

Calculated values
Calculated volume: 37.44 A^3/atom
Energy: -2.575 eV/atom
Density of states at the Fermi level: 0.313 states/eV per atom

abc: 5.095 5.132 8.651
angles: 78.13 72.88 60.24
Atoms (fractional coordinates):
K 0.775 0.703 0.746
H 0.459 0.587 0.495
I 0.000 0.000 0.000
K 0.225 0.297 0.254
H 0.541 0.413 0.505



[12]
DFT (PBE) results for a relaxed K3H2I crystal.

Calculated values
Calculated volume: 29.72 A^3/atom
Energy: -2.476 eV/atom
Density of states at the Fermi level: 0.000 states/eV per atom

abc: 7.877 8.179 8.179
angles: 53.50 61.21 61.21
Atoms (fractional coordinates):
K 0.500 0.242 0.758
H 0.702 0.079 0.079
I 0.120 0.250 0.250
K 0.000 0.258 0.742
I 0.880 0.750 0.750
K 0.000 0.742 0.258
K 0.500 0.000 0.500
K 0.500 0.500 0.000
H 0.640 0.579 0.579
H 0.360 0.421 0.421
H 0.298 0.921 0.921
K 0.500 0.758 0.242



[13]
DFT (PBE) results for a relaxed K2H2I crystal.

Calculated values
Calculated volume: 49.94 A^3/atom
Energy: -2.506 eV/atom
Density of states at the Fermi level: 0.423 states/eV per atom

abc: 9.465 9.465 5.575
angles: 90.00 90.00 90.00
Atoms (fractional coordinates):
H 0.972 0.472 0.500
I 0.500 0.500 0.000
K 0.303 0.803 0.000
H 0.472 0.028 0.500
H 0.028 0.528 0.500
H 0.528 0.972 0.500
I 0.000 0.000 0.000
K 0.197 0.303 0.000
K 0.697 0.197 0.000
K 0.803 0.697 0.000



[14]
DFT (PBE) results for a relaxed KHI crystal.

Calculated values
Calculated volume: 31.30 A^3/atom
Energy: -2.978 eV/atom
Density of states at the Fermi level: 0.000 states/eV per atom

abc: 5.000 4.998 9.144
angles: 105.87 90.00 60.00
Atoms (fractional coordinates):
I 0.276 0.181 0.038
H 0.046 0.643 0.731
I 0.449 0.835 0.519
H 0.017 0.701 0.818
K 0.863 0.007 0.276
K 0.695 0.345 0.783



[15]
DFT (PBE) results for a relaxed K3HI2 crystal.

Calculated values
Calculated volume: 39.03 A^3/atom
Energy: -2.626 eV/atom
Density of states at the Fermi level: 0.000 states/eV per atom

abc: 4.655 6.940 8.368
angles: 114.50 106.15 90.00
Atoms (fractional coordinates):
K 0.363 0.363 0.726
K 0.000 0.000 0.000
K 0.637 0.637 0.274
H 0.000 0.500 0.000
I 0.674 0.174 0.348
I 0.326 0.826 0.652



[16]
DFT (PBE) results for a relaxed KHI2 crystal.

Calculated values
Calculated volume: 33.24 A^3/atom
Energy: -2.253 eV/atom
Density of states at the Fermi level: 0.000 states/eV per atom

abc: 7.454 7.454 7.119
angles: 58.43 58.43 90.00
Atoms (fractional coordinates):
I 0.875 0.754 0.750
I 0.504 0.125 0.250
H 0.250 0.750 0.500
I 0.246 0.625 0.250
I 0.375 0.496 0.750
K 0.000 0.000 0.000
K 0.750 0.250 0.500
H 0.500 0.500 0.000



[17]
DFT (PBE) results for a relaxed K2H3I6 crystal.

Calculated values
Calculated volume: 44.31 A^3/atom
Energy: -2.437 eV/atom
Density of states at the Fermi level: 0.189 states/eV per atom

abc: 6.319 7.217 11.270
angles: 98.48 106.28 90.00
Atoms (fractional coordinates):
H 0.000 0.500 0.000
K 0.851 0.924 0.701
I 0.000 0.764 0.001
I 0.679 0.852 0.359
I 0.681 0.327 0.363
I 0.319 0.673 0.637
H 0.322 0.418 0.645
I 0.000 0.236 0.999
I 0.321 0.148 0.641
H 0.678 0.582 0.355
K 0.149 0.076 0.299



[18]
DFT (PBE) results for a relaxed KHI crystal.

Calculated values
Calculated volume: 34.60 A^3/atom
Energy: -2.946 eV/atom
Density of states at the Fermi level: 0.000 states/eV per atom

abc: 5.010 6.350 7.060
angles: 91.11 92.50 112.21
Atoms (fractional coordinates):
K 0.627 0.386 0.363
I 0.626 0.421 0.857
K 0.331 0.840 0.933
H 0.231 0.569 0.551
I 0.926 0.976 0.301
H 0.243 0.666 0.488



[19]
DFT (PBE) results for a relaxed K2H3I crystal.

Calculated values
Calculated volume: 28.37 A^3/atom
Energy: -2.347 eV/atom
Density of states at the Fermi level: 0.000 states/eV per atom

abc: 7.561 10.416 10.019
angles: 82.13 67.83 68.72
Atoms (fractional coordinates):
H 0.031 0.939 0.500
K 0.590 0.500 0.820
K 0.651 0.000 0.697
K 0.910 0.500 0.180
H 0.719 0.561 0.000
I 0.647 0.706 0.500
I 0.103 0.794 0.000
K 0.099 0.500 0.803
H 0.195 0.795 0.158
K 0.401 0.500 0.197
K 0.160 0.000 0.680
H 0.555 0.705 0.342
H 0.603 0.295 0.658
H 0.011 0.795 0.842
H 0.147 0.205 0.842
H 0.281 0.439 0.000
I 0.853 0.294 0.500
I 0.897 0.206 0.000
K 0.840 0.000 0.320
K 0.349 0.000 0.303
H 0.102 0.295 0.342
H 0.469 0.061 0.500
H 0.739 0.705 0.658
H 0.648 0.205 0.158



[20]
DFT (PBE) results for a relaxed KH2I3 crystal.

Calculated values
Calculated volume: 38.66 A^3/atom
Energy: -2.374 eV/atom
Density of states at the Fermi level: 0.146 states/eV per atom

abc: 3.967 6.584 17.876
angles: 88.85 96.37 90.00
Atoms (fractional coordinates):
I 0.604 0.795 0.208
I 0.041 0.274 0.082
K 0.626 0.296 0.252
H 0.947 0.969 0.893
H 0.714 0.250 0.428
I 0.213 0.252 0.427
H 0.286 0.750 0.572
I 0.959 0.726 0.918
H 0.053 0.031 0.107
I 0.787 0.748 0.573
K 0.374 0.704 0.748
I 0.396 0.205 0.792